Entry 1:
Zn2CuRu | Alexandria | PBE | relaxed; DFT formation energy = 0.22 eV/f.u.
1.0
-1.6105 2.6571 -2.8858
0.3310 -0.9015 -4.1304
-3.4450 -1.1062 -2.2115
Cu Ru Zn
1 1 2
Cartesian
-2.3622 0.3247 -4.6139 Cu
-3.5433 0.4871 -6.9208 Ru
0.0000 0.0000 0.0000 Zn
-1.1811 0.1624 -2.3069 Zn


Entry 2:
TbGdTmOs | Alexandria | PBE | relaxed; DFT formation energy = 0.52 eV/f.u.
1.0
-2.5203 4.3736 -0.8732
-3.9744 0.0647 -3.2315
-4.7556 0.6193 1.8009
Gd Tb Tm Os
1 1 1 1
Cartesian
0.0000 0.0000 0.0000 Gd
-5.6251 2.5288 -1.1519 Tb
-8.4377 3.7932 -1.7278 Tm
-2.8126 1.2644 -0.5759 Os


Entry 3:
BaFe2Si | Alexandria | PBE | relaxed; uncorrected formation energy = 0.186 eV/atom
1.0
3.7961 0.0000 0.0000
0.0000 3.3779 0.0439
0.0000 1.4756 6.5944
Ba Fe Si
1 2 1
Cartesian
1.8981 3.4808 4.8117 Ba
0.0000 3.5320 1.0999 Fe
1.8981 1.8219 1.3697 Fe
0.0000 1.8233 2.7200 Si


Entry 4:
Pm3Pr3Tm2 | Alexandria | PBE | relaxed; DFT formation energy = 0.17 eV/f.u.
1.0
-0.1089 -4.6350 -2.2541
4.4129 1.0826 -2.4392
3.1227 -2.1425 10.1500
Pm Pr Tm
3 3 2
Cartesian
1.3518 -1.0043 1.9999 Pm
2.2064 0.5413 -1.2196 Pm
6.0748 -4.6906 3.4568 Pm
3.5019 -2.7791 -0.3497 Pr
3.9248 -2.9159 5.8063 Pr
-0.0544 -2.3175 -1.1270 Pr
2.5806 -4.2751 2.7711 Tm
4.8461 -1.4198 2.6856 Tm


Entry 5:
ScVS2 | Alexandria | PBE | relaxed; energy above the most stable polymorph in this dataset = 266.2 meV per atom; uncorrected formation energy = -0.779 eV/atom
1.0
1.9085 0.0000 7.9464
-0.9542 1.6528 7.9464
-0.9542 -1.6528 7.9464
Sc S V
1 2 1
Cartesian
0.0000 0.0000 0.0000 Sc
0.0000 0.0000 21.2973 S
0.0000 0.0000 2.5419 S
0.0000 0.0000 11.9196 V


Entry 6:
ReP2Pb | Alexandria | PBE | relaxed; DFT formation energy = 0.28 eV/f.u.
1.0
-1.5520 0.1857 2.6092
-2.4975 -1.0064 -1.4140
2.0347 -7.5002 1.7442
P Pb Re
2 1 1
Cartesian
1.8786 -6.9250 1.6104 P
1.1734 -4.3253 1.0059 P
-1.5161 -2.2854 1.0336 Pb
-0.4987 -6.0355 1.9057 Re


| no. | energy (eV per atom) |
| --- | --- |
| 1 | -3.92 |
| 2 | -8.47 |
| 3 | -5.88 |
| 4 | -4.67 |
| 5 | -6.71 |
| 6 | -6.67 |